Entry 1:
# MgRhAu2

A relaxed structure of MgRhAu2 (GGA-PBE, the Alexandria database).

Lattice parameters (Å, degrees): 2.960 2.960 7.661 90.00 90.00 90.00
Sites, in units of the cell vectors:
Mg1 0.000 0.000 0.000
Rh1 0.500 0.500 0.221
Au1 0.000 0.000 0.470
Au2 0.500 0.500 0.744

Computed properties:
- ΔE_f: -0.21 eV/atom


Entry 2:
# TbPm2Ag3Se6

A relaxed structure of TbPm2Ag3Se6 (GGA-PBE, the Alexandria database).

Lattice parameters (Å, degrees): 9.090 9.090 8.111 98.53 98.53 27.11
Sites, in units of the cell vectors:
Tb1 0.000 0.000 0.000
Pm1 0.333 0.333 0.674
Pm2 0.667 0.667 0.326
Ag1 0.000 0.000 0.500
Ag2 0.326 0.326 0.187
Ag3 0.674 0.674 0.813
Se1 0.164 0.164 0.579
Se2 0.165 0.165 0.074
Se3 0.498 0.498 0.243
Se4 0.502 0.502 0.757
Se5 0.835 0.835 0.926
Se6 0.836 0.836 0.421

Computed properties:
- Raw formation energy: -1.163 eV/atom


Entry 3:
# SnBi3Au

A relaxed structure of SnBi3Au (GGA-PBE, the Alexandria database).

Lattice parameters (Å, degrees): 5.578 5.578 5.578 90.00 90.00 90.00
Sites, in units of the cell vectors:
Sn1 0.000 0.000 0.000
Bi1 0.000 0.500 0.500
Bi2 0.500 0.000 0.500
Bi3 0.500 0.500 0.000
Au1 0.500 0.500 0.500

Computed properties:
- ΔE_f: 0.46 eV/atom
- Relative energy among the computed polymorphs: 429 meV/atom


Entry 4:
# LiMnBi3

A relaxed structure of LiMnBi3 (GGA-PBE, the Alexandria database).

Lattice parameters (Å, degrees): 5.091 5.091 5.091 90.00 90.00 90.00
Sites, in units of the cell vectors:
Li1 0.000 0.000 0.000
Mn1 0.500 0.500 0.500
Bi1 0.000 0.000 0.500
Bi2 0.000 0.500 0.000
Bi3 0.500 0.000 0.000

Computed properties:
- ΔE_f: 0.97 eV/atom
- Relative energy among the computed polymorphs: 572 meV/atom


Entry 5:
# LaAgCl2

A relaxed structure of LaAgCl2 (GGA-PBE, the Alexandria database).

Lattice parameters (Å, degrees): 5.097 5.097 5.097 60.00 60.00 60.00
Sites, in units of the cell vectors:
La1 0.000 0.000 0.000
Ag1 0.500 0.500 0.500
Cl1 0.250 0.250 0.250
Cl2 0.750 0.750 0.750

Computed properties:
- Raw formation energy: -1.184 eV/atom
- Relative energy among the computed polymorphs: 128 meV/atom


Entry 6:
# Ba4Ga4Pt

A relaxed structure of Ba4Ga4Pt (GGA-PBE, the Alexandria database).

Lattice parameters (Å, degrees): 9.623 9.623 6.541 90.00 90.00 90.00
Sites, in units of the cell vectors:
Ba1 0.044 0.250 0.076
Ba2 0.250 0.044 0.576
Ba3 0.250 0.456 0.576
Ba4 0.456 0.250 0.076
Ba5 0.544 0.750 0.924
Ba6 0.750 0.544 0.424
Ba7 0.750 0.956 0.424
Ba8 0.956 0.750 0.924
Ga1 0.099 0.750 0.395
Ga2 0.250 0.599 0.105
Ga3 0.250 0.901 0.105
Ga4 0.401 0.750 0.395
Ga5 0.599 0.250 0.605
Ga6 0.750 0.099 0.895
Ga7 0.750 0.401 0.895
Ga8 0.901 0.250 0.605
Pt1 0.250 0.750 0.750
Pt2 0.750 0.250 0.250

Computed properties:
- ΔE_f: -0.47 eV/atom


Entry 7:
# CoOsRh2

A relaxed structure of CoOsRh2 (GGA-PBE, the Alexandria database).

Lattice parameters (Å, degrees): 2.699 2.699 7.425 90.00 90.00 90.00
Sites, in units of the cell vectors:
Co1 0.000 0.000 0.000
Os1 0.000 0.000 0.500
Rh1 0.500 0.500 0.244
Rh2 0.500 0.500 0.756

Computed properties:
- ΔE_f: 0.08 eV/atom
- Relative energy among the computed polymorphs: 0 meV/atom


Entry 8:
# CdCo2Tc

A relaxed structure of CdCo2Tc (GGA-PBE, the Alexandria database).

Lattice parameters (Å, degrees): 4.078 5.259 5.259 29.55 90.00 90.00
Sites, in units of the cell vectors:
Cd1 0.000 0.000 0.000
Co1 0.000 0.741 0.741
Co2 0.500 0.618 0.618
Tc1 0.500 0.333 0.333

Computed properties:
- ΔE_f: 0.35 eV/atom


Copy entry 5 word for word.
# LaAgCl2

A relaxed structure of LaAgCl2 (GGA-PBE, the Alexandria database).

Lattice parameters (Å, degrees): 5.097 5.097 5.097 60.00 60.00 60.00
Sites, in units of the cell vectors:
La1 0.000 0.000 0.000
Ag1 0.500 0.500 0.500
Cl1 0.250 0.250 0.250
Cl2 0.750 0.750 0.750

Computed properties:
- Raw formation energy: -1.184 eV/atom
- Relative energy among the computed polymorphs: 128 meV/atom